[1]
First-principles (meta-GGA SCAN) data for LiTl3 at its PBEsol-relaxed geometry, as listed in the Alexandria database.

The structure in CIF format:
```
data_LiTl3
_chemical_formula_sum 'Li4 Tl12'
_cell_length_a 6.584
_cell_length_b 11.313
_cell_length_c 5.421
_cell_angle_alpha 90.00
_cell_angle_beta 90.00
_cell_angle_gamma 90.00
_space_group_name_H-M_alt 'C m c m'
_space_group_IT_number 63
_space_group_name_Hall '-C 2c 2'
loop_
_atom_site_label
_atom_site_fract_x
_atom_site_fract_y
_atom_site_fract_z
Li1 0.000 0.165 0.250
Tl1 0.000 0.332 0.750
Tl2 0.248 0.085 0.750
```

[2]
First-principles (meta-GGA SCAN) data for LiTl3 at its PBEsol-relaxed geometry, as listed in the Alexandria database.

The structure in CIF format:
```
data_LiTl3
_chemical_formula_sum 'Li1 Tl3'
_cell_length_a 3.350
_cell_length_b 3.350
_cell_length_c 8.663
_cell_angle_alpha 90.00
_cell_angle_beta 90.00
_cell_angle_gamma 90.00
_space_group_name_H-M_alt 'P 4/m m m'
_space_group_IT_number 123
_space_group_name_Hall '-P 4 2'
loop_
_atom_site_label
_atom_site_fract_x
_atom_site_fract_y
_atom_site_fract_z
Li1 0.000 0.000 0.000
Tl1 0.000 0.000 0.500
Tl2 0.500 0.500 0.213
```

[3]
First-principles (meta-GGA SCAN) data for Li3Tl5 at its PBEsol-relaxed geometry, as listed in the Alexandria database.

The structure in CIF format:
```
data_Li3Tl5
_chemical_formula_sum 'Li6 Tl10'
_cell_length_a 8.3164
_cell_length_b 8.3164
_cell_length_c 6.0845
_cell_angle_alpha 90.00
_cell_angle_beta 90.00
_cell_angle_gamma 120.00
_space_group_name_H-M_alt 'P 63/m c m'
_space_group_IT_number 193
_space_group_name_Hall '-P 6c 2'
loop_
_atom_site_label
_atom_site_fract_x
_atom_site_fract_y
_atom_site_fract_z
Li1 0.0000 0.4022 0.2500
Tl1 0.0000 0.2368 0.7500
Tl2 0.3333 0.6667 0.0000
```

[4]
First-principles (meta-GGA SCAN) data for LiTl3 at its PBEsol-relaxed geometry, as listed in the Alexandria database.

The structure in CIF format:
```
data_LiTl3
_chemical_formula_sum 'Li2 Tl6'
_cell_length_a 3.676
_cell_length_b 5.265
_cell_length_c 10.349
_cell_angle_alpha 90.00
_cell_angle_beta 90.00
_cell_angle_gamma 90.00
_space_group_name_H-M_alt 'I m m m'
_space_group_IT_number 71
_space_group_name_Hall '-I 2 2'
loop_
_atom_site_label
_atom_site_fract_x
_atom_site_fract_y
_atom_site_fract_z
Li1 0.000 0.000 0.000
Tl1 0.000 0.000 0.500
Tl2 0.000 0.500 0.272
```

[5]
First-principles (meta-GGA SCAN) data for Li3Tl at its PBEsol-relaxed geometry, as listed in the Alexandria database.

The structure in CIF format:
```
data_Li3Tl
_chemical_formula_sum 'Li3 Tl1'
_cell_length_a 5.361
_cell_length_b 5.361
_cell_length_c 5.361
_cell_angle_alpha 90.00
_cell_angle_beta 90.00
_cell_angle_gamma 90.00
_space_group_name_H-M_alt 'P m -3 m'
_space_group_IT_number 221
_space_group_name_Hall '-P 4 2 3'
loop_
_atom_site_label
_atom_site_fract_x
_atom_site_fract_y
_atom_site_fract_z
Li1 0.000 0.000 0.500
Tl1 0.000 0.000 0.000
```

[6]
First-principles (meta-GGA SCAN) data for Li3Tl at its PBEsol-relaxed geometry, as listed in the Alexandria database.

The structure in CIF format:
```
data_Li3Tl
_chemical_formula_sum 'Li3 Tl1'
_cell_length_a 3.435
_cell_length_b 3.435
_cell_length_c 6.451
_cell_angle_alpha 90.00
_cell_angle_beta 90.00
_cell_angle_gamma 90.00
_space_group_name_H-M_alt 'P 4/m m m'
_space_group_IT_number 123
_space_group_name_Hall '-P 4 2'
loop_
_atom_site_label
_atom_site_fract_x
_atom_site_fract_y
_atom_site_fract_z
Li1 0.000 0.000 0.000
Li2 0.500 0.500 0.257
Tl1 0.000 0.000 0.500
```

[7]
First-principles (meta-GGA SCAN) data for Li3Tl at its PBEsol-relaxed geometry, as listed in the Alexandria database.

The structure in CIF format:
```
data_Li3Tl
_chemical_formula_sum 'Li3 Tl1'
_cell_length_a 3.135
_cell_length_b 4.777
_cell_length_c 5.182
_cell_angle_alpha 90.00
_cell_angle_beta 98.07
_cell_angle_gamma 90.00
_space_group_name_H-M_alt 'P 1 2/m 1'
_space_group_IT_number 10
loop_
_space_group_symop_operation_xyz
'x,y,z'
'-x,-y,-z'
'-x,y,-z'
'x,-y,z'
loop_
_atom_site_label
_atom_site_fract_x
_atom_site_fract_y
_atom_site_fract_z
Li1 0.000 0.000 0.000
Li2 0.241 0.500 0.738
Tl1 0.500 0.000 0.500
```

[8]
First-principles (meta-GGA SCAN) data for LiTmTl2 at its PBEsol-relaxed geometry, as listed in the Alexandria database.

The structure in CIF format:
```
data_LiTmTl2
_chemical_formula_sum 'Li4 Tm4 Tl8'
_cell_length_a 7.152
_cell_length_b 7.152
_cell_length_c 7.152
_cell_angle_alpha 90.00
_cell_angle_beta 90.00
_cell_angle_gamma 90.00
_space_group_name_H-M_alt 'F m -3 m'
_space_group_IT_number 225
_space_group_name_Hall '-F 4 2 3'
loop_
_atom_site_label
_atom_site_fract_x
_atom_site_fract_y
_atom_site_fract_z
Li1 0.000 0.000 0.000
Tm1 0.000 0.000 0.500
Tl1 0.250 0.250 0.250
```

no.,calculated formation energy (eV per atom)
1,-0.103
2,-0.118
3,-0.188
4,-0.113
5,0.229
6,-0.233
7,-0.239
8,-0.462